<w>
# BaNb2Ag

BaNb2Ag after structural relaxation (PBE, Alexandria).

Computed properties:
For the spin magnetization, the calculation gives 0.0 Bohr magnetons per cell.

a = 4.4848 Å, b = 4.4848 Å, c = 22.1608 Å
α = 90.00°, β = 90.00°, γ = 90.00°
Last column: nearest neighbours and their distance in Å.
Space group I-42d (No. 122)
Asymmetric unit:
Ba (0.0000, 0.0000, 0.0000) [4 per cell]  4 Ag 3.17, 4 Nb 3.45
Nb (0.1135, 0.2500, 0.6250) [8 per cell]  2 Nb 2.46
Ag (0.0000, 0.0000, 0.5000) [4 per cell]  4 Nb 3.03, 4 Ba 3.17

<x>
# BaNb2Ag

BaNb2Ag after structural relaxation (PBE, Alexandria).

Computed properties:
For the spin magnetization, the calculation gives 0.0 Bohr magnetons per cell.

a = 6.9940 Å, b = 6.9940 Å, c = 6.9940 Å
α = 90.00°, β = 90.00°, γ = 90.00°
Last column: nearest neighbours and their distance in Å.
Space group Fm-3m (No. 225)
Asymmetric unit:
Ba (0.0000, 0.0000, 0.0000) [4 per cell]  8 Nb 3.03
Nb (0.2500, 0.2500, 0.2500) [8 per cell]  4 Ba 3.03, 4 Ag 3.03
Ag (0.0000, 0.0000, 0.5000) [4 per cell]  8 Nb 3.03

Stability, lowest: <x>

<w>
# BaNb3Ag

BaNb3Ag after structural relaxation (PBE, Alexandria).

Computed properties:
For the spin magnetization, the calculation gives 3.9 Bohr magnetons per cell.

a = 5.1735 Å, b = 5.1735 Å, c = 5.1735 Å
α = 90.00°, β = 90.00°, γ = 90.00°
Last column: nearest neighbours and their distance in Å.
Space group Pm-3m (No. 221)
Asymmetric unit:
Ba (0.0000, 0.0000, 0.0000) [1 per cell]  12 Nb 3.66
Nb (0.0000, 0.5000, 0.5000) [3 per cell]  2 Ag 2.59
Ag (0.5000, 0.5000, 0.5000) [1 per cell]  6 Nb 2.59

<x>
# BaNb3Ag

BaNb3Ag after structural relaxation (PBE, Alexandria).

Computed properties:
For the spin magnetization, the calculation gives 0.0 Bohr magnetons per cell.

a = 5.0476 Å, b = 5.0476 Å, c = 5.0476 Å
α = 90.00°, β = 90.00°, γ = 90.00°
Last column: nearest neighbours and their distance in Å.
Space group Pm-3m (No. 221)
Asymmetric unit:
Ba (0.0000, 0.0000, 0.0000) [1 per cell]  6 Nb 2.52
Nb (0.0000, 0.0000, 0.5000) [3 per cell]  2 Ba 2.52
Ag (0.5000, 0.5000, 0.5000) [1 per cell]  12 Nb 3.57

Stability, lowest: <x>

<w>
# BaNbAg2

BaNbAg2 after structural relaxation (PBE, Alexandria).

Computed properties:
For the spin magnetization, the calculation gives 11.5 Bohr magnetons per cell.

a = 8.2768 Å, b = 8.2768 Å, c = 6.7078 Å
α = 90.00°, β = 90.00°, γ = 90.00°
Last column: nearest neighbours and their distance in Å.
Space group I-42d (No. 122)
Asymmetric unit:
Ba (0.0000, 0.0000, 0.0000) [4 per cell]  2 Nb 3.35, 8 Ag 3.37-3.63
Nb (0.0000, 0.0000, 0.5000) [4 per cell]  4 Ag 2.75
Ag (0.1946, 0.7500, 0.6250) [8 per cell]  2 Nb 2.75

<x>
# BaNbAg2

BaNbAg2 after structural relaxation (PBE, Alexandria).

Computed properties:
For the spin magnetization, the calculation gives 14.2 Bohr magnetons per cell.

a = 7.5107 Å, b = 7.5107 Å, c = 7.5107 Å
α = 90.00°, β = 90.00°, γ = 90.00°
Last column: nearest neighbours and their distance in Å.
Space group Fm-3m (No. 225)
Asymmetric unit:
Ba (0.0000, 0.0000, 0.0000) [4 per cell]  8 Ag 3.25
Nb (0.0000, 0.0000, 0.5000) [4 per cell]  8 Ag 3.25
Ag (0.2500, 0.2500, 0.2500) [8 per cell]  4 Ba 3.25, 4 Nb 3.25

Stability, lowest: <w>

<w>
# Ba2NdAg

Ba2NdAg after structural relaxation (PBE, Alexandria).

Computed properties:
For the spin magnetization, the calculation gives 0.4 Bohr magnetons per cell.

a = 4.0315 Å, b = 4.0315 Å, c = 10.0564 Å
α = 90.00°, β = 90.00°, γ = 90.00°
Last column: nearest neighbours and their distance in Å.
Space group P4/mmm (No. 123)
Asymmetric unit:
Ba (0.0000, 0.0000, 0.2049) [2 per cell]  4 Ag 3.52
Nd (0.5000, 0.5000, 0.5000) [1 per cell]  4 Nd 4.03, 8 Ba 4.12
Ag (0.5000, 0.5000, 0.0000) [1 per cell]  8 Ba 3.52

<x>
# Ba2NdAg

Ba2NdAg after structural relaxation (PBE, Alexandria).

Computed properties:
For the spin magnetization, the calculation gives 2.2 Bohr magnetons per cell.

a = 4.0022 Å, b = 4.0022 Å, c = 37.1671 Å
α = 90.00°, β = 90.00°, γ = 120.00°
Last column: nearest neighbours and their distance in Å.
Space group R-3m (No. 166, hexagonal axes)
Asymmetric unit:
Ba (0.0000, 0.0000, 0.1011) [6 per cell]  3 Ag 3.36, 1 Nd 3.76
Nd (0.0000, 0.0000, 0.0000) [3 per cell]  2 Ba 3.76, 6 Nd 4.00
Ag (0.0000, 0.0000, 0.5000) [3 per cell]  6 Ba 3.36

Stability, lowest: <x>

<w>
# Ba4NiAg

Ba4NiAg after structural relaxation (PBE, Alexandria).

Computed properties:
For the spin magnetization, the calculation gives 0.9 Bohr magnetons per cell.

a = 10.0398 Å, b = 10.0398 Å, c = 10.0398 Å
α = 90.00°, β = 90.00°, γ = 90.00°
Last column: nearest neighbours and their distance in Å.
Space group F-43m (No. 216)
Asymmetric unit:
Ba (0.1245, 0.1245, 0.1245) [16 per cell]  6 Ba 3.54-3.56
Ni (0.2500, 0.2500, 0.7500) [4 per cell]  12 Ba 4.16, 4 Ag 4.35
Ag (0.0000, 0.0000, 0.5000) [4 per cell]  12 Ba 4.16, 4 Ni 4.35

<x>
# Ba4NiAg

Ba4NiAg after structural relaxation (PBE, Alexandria).

Computed properties:
For the spin magnetization, the calculation gives 0.0 Bohr magnetons per cell.

a = 11.1094 Å, b = 11.1094 Å, c = 10.0483 Å
α = 90.00°, β = 90.00°, γ = 90.00°
Last column: nearest neighbours and their distance in Å.
Space group I4_1/amd (No. 141, origin choice 2)
Asymmetric unit:
Ba (0.0000, 0.0482, 0.2020) [16 per cell]  1 Ni 2.84
Ni (0.0000, 0.2500, 0.3750) [4 per cell]  4 Ba 2.84
Ag (0.0000, 0.2500, 0.8750) [4 per cell]  4 Ba 3.40

Stability, lowest: <w>

<w>
# Ba3NiAg

Ba3NiAg after structural relaxation (PBE, Alexandria).

Computed properties:
For the spin magnetization, the calculation gives 0.0 Bohr magnetons per cell.

a = 5.9749 Å, b = 5.9749 Å, c = 5.9749 Å
α = 90.00°, β = 90.00°, γ = 90.00°
Last column: nearest neighbours and their distance in Å.
Space group Pm-3m (No. 221)
Asymmetric unit:
Ba (0.0000, 0.0000, 0.5000) [3 per cell]  2 Ni 2.99
Ni (0.0000, 0.0000, 0.0000) [1 per cell]  6 Ba 2.99
Ag (0.5000, 0.5000, 0.5000) [1 per cell]  12 Ba 4.22

<x>
# Ba3NiAg

Ba3NiAg after structural relaxation (PBE, Alexandria).

Computed properties:
For the spin magnetization, the calculation gives 0.0 Bohr magnetons per cell.

a = 19.3733 Å, b = 4.3842 Å, c = 10.0237 Å
α = 90.00°, β = 100.73°, γ = 90.00°
Last column: nearest neighbours and their distance in Å.
Space group C2/m (No. 12)
Asymmetric unit:
Ba (0.0596, 0.0000, 0.3421) [4 per cell]  4 Ag 3.40-3.48
Ba (0.1074, 0.5000, 0.9578) [4 per cell]  3 Ni 2.99-3.31
Ba (0.2232, 0.0000, 0.7104) [4 per cell]  3 Ni 3.14-3.40
Ni (0.2368, 0.0000, 0.0271) [4 per cell]  2 Ni 2.34
Ag (0.0721, 0.5000, 0.6053) [4 per cell]  1 Ag 3.17, 5 Ba 3.40-3.48

Stability, lowest: <w>

<w>
# Ba2TlNiAg

Ba2TlNiAg after structural relaxation (PBE, Alexandria).

Computed properties:
For the spin magnetization, the calculation gives 0.0 Bohr magnetons per cell.

a = 5.9562 Å, b = 5.9562 Å, c = 5.0048 Å
α = 90.00°, β = 90.00°, γ = 90.00°
Last column: nearest neighbours and their distance in Å.
Space group P4/mmm (No. 123)
Asymmetric unit:
Ba (0.0000, 0.5000, 0.0000) [2 per cell]  2 Ni 2.98
Tl (0.0000, 0.0000, 0.5000) [1 per cell]  2 Ni 2.50
Ni (0.0000, 0.0000, 0.0000) [1 per cell]  2 Tl 2.50
Ag (0.5000, 0.5000, 0.5000) [1 per cell]  8 Ba 3.89, 4 Tl 4.21

<x>
# Ba2TlNiAg

Ba2TlNiAg after structural relaxation (PBE, Alexandria).

Computed properties:
For the spin magnetization, the calculation gives 0.0 Bohr magnetons per cell.

a = 5.9785 Å, b = 5.9785 Å, c = 4.9167 Å
α = 90.00°, β = 90.00°, γ = 90.00°
Last column: nearest neighbours and their distance in Å.
Space group P4/mmm (No. 123)
Asymmetric unit:
Ba (0.0000, 0.5000, 0.0000) [2 per cell]  2 Ni 2.99
Tl (0.0000, 0.0000, 0.5000) [1 per cell]  8 Ba 3.87, 4 Ag 4.23
Ni (0.5000, 0.5000, 0.0000) [1 per cell]  2 Ag 2.46
Ag (0.5000, 0.5000, 0.5000) [1 per cell]  2 Ni 2.46

Stability, lowest: <x>

<w>
# Ba4Ag2O

Ba4Ag2O after structural relaxation (PBE, Alexandria).

Computed properties:
For the spin magnetization, the calculation gives 0.0 Bohr magnetons per cell.

a = 7.8550 Å, b = 8.1141 Å, c = 9.3764 Å
α = 90.00°, β = 107.04°, γ = 90.00°
Last column: nearest neighbours and their distance in Å.
Space group P2_1/m (No. 11)
Asymmetric unit:
Ba (0.0195, 0.0126, 0.2493) [4 per cell]  1 O 2.53
Ba (0.4096, 0.2500, 0.5785) [2 per cell]  1 O 2.52
Ba (0.4312, 0.2500, 0.1320) [2 per cell]  1 O 2.53
Ag (0.2133, 0.7500, 0.5480) [2 per cell]  6 Ba 3.45-3.56
Ag (0.2434, 0.7500, 0.0646) [2 per cell]  6 Ba 3.52-3.64
O (0.2380, 0.2500, 0.3054) [2 per cell]  4 Ba 2.52-2.53

<x>
# Ba4Ag2O

Ba4Ag2O after structural relaxation (PBE, Alexandria).

Computed properties:
For the spin magnetization, the calculation gives 0.0 Bohr magnetons per cell.

a = 5.3817 Å, b = 5.3817 Å, c = 17.7178 Å
α = 90.00°, β = 90.00°, γ = 90.00°
Last column: nearest neighbours and their distance in Å.
Space group I4/mmm (No. 139)
Asymmetric unit:
Ba (0.0000, 0.0000, 0.1754) [4 per cell]  1 O 3.11, 1 Ag 3.42
Ba (0.0000, 0.5000, 0.0000) [4 per cell]  2 O 2.69
Ag (0.0000, 0.0000, 0.3683) [4 per cell]  5 Ba 3.42-3.56
O (0.0000, 0.0000, 0.0000) [2 per cell]  4 Ba 2.69

Stability, lowest: <x>

<w>
# BaAg3O

BaAg3O after structural relaxation (PBE, Alexandria).

Computed properties:
For the spin magnetization, the calculation gives 0.0 Bohr magnetons per cell.

a = 6.2441 Å, b = 6.2441 Å, c = 6.2441 Å
α = 90.00°, β = 90.00°, γ = 90.00°
Last column: nearest neighbours and their distance in Å.
Space group Pm-3m (No. 221)
Asymmetric unit:
Ba (0.0000, 0.0000, 0.0000) [1 per cell]  6 Ag 3.12
Ag (0.0000, 0.0000, 0.5000) [3 per cell]  2 Ba 3.12
O (0.5000, 0.5000, 0.5000) [1 per cell]  12 Ag 4.42

<x>
# BaAg3O

BaAg3O after structural relaxation (PBE, Alexandria).

Computed properties:
For the spin magnetization, the calculation gives 0.0 Bohr magnetons per cell.

a = 4.8328 Å, b = 4.8328 Å, c = 4.8328 Å
α = 90.00°, β = 90.00°, γ = 90.00°
Last column: nearest neighbours and their distance in Å.
Space group Pm-3m (No. 221)
Asymmetric unit:
Ba (0.0000, 0.0000, 0.0000) [1 per cell]  12 Ag 3.42
Ag (0.0000, 0.5000, 0.5000) [3 per cell]  2 O 2.42
O (0.5000, 0.5000, 0.5000) [1 per cell]  6 Ag 2.42

Stability, lowest: <w>

<w>
# BaAgPO2

BaAgPO2 after structural relaxation (PBE, Alexandria).

Computed properties:
For the spin magnetization, the calculation gives 1.6 Bohr magnetons per cell.

a = 4.4097 Å, b = 4.4097 Å, c = 7.3943 Å
α = 90.00°, β = 90.00°, γ = 90.00°
Last column: nearest neighbours and their distance in Å.
Space group P4/mmm (No. 123)
Asymmetric unit:
Ba (0.0000, 0.0000, 0.0000) [1 per cell]  4 O 2.20
Ag (0.5000, 0.5000, 0.5000) [1 per cell]  4 P 3.12
P (0.0000, 0.0000, 0.5000) [1 per cell]  4 Ag 3.12
O (0.0000, 0.5000, 0.0000) [2 per cell]  2 Ba 2.20

<x>
# BaAgPO2

BaAgPO2 after structural relaxation (PBE, Alexandria).

Computed properties:
For the spin magnetization, the calculation gives 0.0 Bohr magnetons per cell.

a = 4.4952 Å, b = 4.4952 Å, c = 4.5997 Å
α = 90.00°, β = 90.00°, γ = 90.00°
Last column: nearest neighbours and their distance in Å.
Space group P4/mmm (No. 123)
Asymmetric unit:
Ba (0.0000, 0.0000, 0.0000) [1 per cell]  4 P 3.18, 8 O 3.22
Ag (0.5000, 0.5000, 0.5000) [1 per cell]  4 O 2.25, 2 P 2.30
P (0.5000, 0.5000, 0.0000) [1 per cell]  2 Ag 2.30
O (0.0000, 0.5000, 0.5000) [2 per cell]  2 Ag 2.25

Stability, lowest: <w>

<w>
# BaAgP2O

BaAgP2O after structural relaxation (PBE, Alexandria).

Computed properties:
For the spin magnetization, the calculation gives 1.2 Bohr magnetons per cell.

a = 4.8467 Å, b = 4.8467 Å, c = 4.6676 Å
α = 90.00°, β = 90.00°, γ = 90.00°
Last column: nearest neighbours and their distance in Å.
Space group P4/mmm (No. 123)
Asymmetric unit:
Ba (0.0000, 0.0000, 0.0000) [1 per cell]  8 P 3.36, 4 O 3.43
Ag (0.5000, 0.5000, 0.5000) [1 per cell]  2 O 2.33, 4 P 2.42
P (0.0000, 0.5000, 0.5000) [2 per cell]  2 Ag 2.42
O (0.5000, 0.5000, 0.0000) [1 per cell]  2 Ag 2.33

<x>
# BaAgP2O

BaAgP2O after structural relaxation (PBE, Alexandria).

Computed properties:
For the spin magnetization, the calculation gives 4.5 Bohr magnetons per cell.

a = 6.3105 Å, b = 6.3105 Å, c = 4.5309 Å
α = 90.00°, β = 90.00°, γ = 90.00°
Last column: nearest neighbours and their distance in Å.
Space group P4/mmm (No. 123)
Asymmetric unit:
Ba (0.0000, 0.0000, 0.0000) [1 per cell]  2 O 2.27
Ag (0.5000, 0.5000, 0.5000) [1 per cell]  8 P 3.88
P (0.0000, 0.5000, 0.0000) [2 per cell]  2 Ba 3.16
O (0.0000, 0.0000, 0.5000) [1 per cell]  2 Ba 2.27

Stability, lowest: <x>

<w>
# Ba2AgOs

Ba2AgOs after structural relaxation (PBE, Alexandria).

Computed properties:
For the spin magnetization, the calculation gives 1.7 Bohr magnetons per cell.

a = 4.6075 Å, b = 4.6075 Å, c = 25.1289 Å
α = 90.00°, β = 90.00°, γ = 120.00°
Last column: nearest neighbours and their distance in Å.
Space group R3m (No. 160, hexagonal axes)
Asymmetric unit:
Ba (0.0000, 0.0000, 0.0000) [3 per cell]  3 Os 3.37, 3 Ag 3.37
Ba (0.0000, 0.0000, 0.1646) [3 per cell]  3 Ag 3.37, 3 Os 3.37
Ag (0.0000, 0.0000, 0.7491) [3 per cell]  3 Os 2.66
Os (0.0000, 0.0000, 0.4156) [3 per cell]  3 Ag 2.66

<x>
# Ba2AgOs

Ba2AgOs after structural relaxation (PBE, Alexandria).

Computed properties:
For the spin magnetization, the calculation gives 3.4 Bohr magnetons per cell.

a = 4.4638 Å, b = 4.4638 Å, c = 25.4600 Å
α = 90.00°, β = 90.00°, γ = 120.00°
Last column: nearest neighbours and their distance in Å.
Space group R-3m (No. 166, hexagonal axes)
Asymmetric unit:
Ba (0.0000, 0.0000, 0.2394) [6 per cell]  3 Os 3.17, 3 Ag 3.52
Ag (0.0000, 0.0000, 0.0000) [3 per cell]  6 Ba 3.52
Os (0.0000, 0.0000, 0.5000) [3 per cell]  6 Ba 3.17

<y>
# Ba2AgOs

Ba2AgOs after structural relaxation (PBE, Alexandria).

Computed properties:
For the spin magnetization, the calculation gives 2.7 Bohr magnetons per cell.

a = 7.8104 Å, b = 7.8104 Å, c = 7.8104 Å
α = 90.00°, β = 90.00°, γ = 90.00°
Last column: nearest neighbours and their distance in Å.
Space group Fm-3m (No. 225)
Asymmetric unit:
Ba (0.2500, 0.2500, 0.2500) [8 per cell]  4 Ag 3.38, 4 Os 3.38
Ag (0.0000, 0.0000, 0.0000) [4 per cell]  8 Ba 3.38
Os (0.0000, 0.0000, 0.5000) [4 per cell]  8 Ba 3.38

<z>
# Ba2AgOs

Ba2AgOs after structural relaxation (PBE, Alexandria).

Computed properties:
For the spin magnetization, the calculation gives 1.2 Bohr magnetons per cell.

a = 8.5893 Å, b = 3.4644 Å, c = 8.8172 Å
α = 90.00°, β = 97.31°, γ = 90.00°
Last column: nearest neighbours and their distance in Å.
Space group C2/m (No. 12)
Asymmetric unit:
Ba (0.2417, 0.0000, 0.2176) [4 per cell]  3 Os 3.11-3.16, 1 Ag 3.44, 2 Ba 3.46
Ag (0.0000, 0.0000, 0.5000) [2 per cell]  6 Ba 3.44-3.57, 2 Ag 3.46
Os (0.0000, 0.5000, 0.0000) [2 per cell]  6 Ba 3.11-3.16, 2 Os 3.46

Stability, lowest: <x>